[1]
## NbTe2RuN (PBE)

Data for NbTe2RuN after structural relaxation.

The space group is P4/mmm (No. 123) and the conventional cell measures 5.513, 5.513 and 3.837 Å, with angles of 90.00, 90.00 and 90.00 degrees. The inequivalent atoms are Nb at (0.000, 0.000, 0.000), Te at (0.000, 0.500, 0.000), Ru at (0.500, 0.500, 0.500) and N at (0.000, 0.000, 0.500).

The value obtained for the total magnetic moment is 2.2 Bohr magnetons per cell. As for the distance to the lowest polymorph of the same formula: 119.3 kJ/mol of formula units. As for the formation energy (no corrections): 0.760 eV per atom.

=====

[2]
## NbTeRuN2 (PBE)

Data for NbTeRuN2 after structural relaxation.

The space group is P4/mmm (No. 123) and the conventional cell measures 3.989, 3.989 and 5.948 Å, with angles of 90.00, 90.00 and 90.00 degrees. The inequivalent atoms are Nb at (0.000, 0.000, 0.000), Te at (0.000, 0.000, 0.500), Ru at (0.500, 0.500, 0.500) and N at (0.000, 0.500, 0.000).

The value obtained for the total magnetic moment is 2.9 Bohr magnetons per cell. As for the distance to the lowest polymorph of the same formula: 0.0 kJ/mol of formula units. As for the formation energy (no corrections): 0.858 eV per atom.

=====

Calculated values (eV/cell) of electronic total energy for the records, taken in order: -30.2; -34.9.